Record 1
RbMgRuF6 | the Alexandria database | PBE-GGA | relaxed; formation energy (no corrections) = -2.534 eV per atom; E_tot = -0.3746 Ry per atom; SG = Imma (74); size of the total moment = 1.001 μB per formula unit
1.0
-3.677 3.709 5.279
3.677 -3.709 5.279
3.677 3.709 -5.279
Rb Mg Ru F
2 2 2 12
Direct
0.351 0.101 0.250
0.649 0.899 0.750
0.000 0.000 0.500
0.000 0.500 0.000
0.000 0.500 0.500
0.500 0.500 0.000
0.061 0.811 0.250
0.071 0.419 0.246
0.071 0.825 0.652
0.326 0.175 0.746
0.326 0.581 0.152
0.329 0.579 0.750
0.671 0.421 0.250
0.674 0.419 0.848
0.674 0.825 0.254
0.929 0.175 0.348
0.929 0.581 0.754
0.939 0.189 0.750

***

Record 2
NaLi2PPt | the Alexandria database | PBE-GGA | relaxed; E_tot = -0.2762 Ry per atom; ΔE_f = -0.439 eV per atom; SG = P4/mmm (123); size of the total moment = 0.000 μB per formula unit
1.0
4.689 0.000 0.000
0.000 4.689 0.000
0.000 0.000 4.505
Na Li P Pt
1 2 1 1
Direct
0.000 0.000 0.000
0.000 0.500 0.500
0.500 0.000 0.500
0.500 0.500 0.500
0.500 0.500 0.000

***

Record 3
K3Pb2Br7 | the Alexandria database | PBE-GGA | relaxed; formation energy (no corrections) = -1.275 eV per atom; E_tot = -0.2310 Ry per atom; SG = I4/mmm (139); size of the total moment = 0.000 μB per formula unit
1.0
-2.981 2.981 14.213
2.981 -2.981 14.213
2.981 2.981 -14.213
K Pb Br
3 2 7
Direct
0.000 0.000 0.000
0.178 0.178 0.000
0.822 0.822 0.000
0.392 0.392 0.000
0.608 0.608 0.000
0.103 0.603 0.500
0.290 0.290 0.000
0.397 0.897 0.500
0.500 0.500 0.000
0.603 0.103 0.500
0.710 0.710 0.000
0.897 0.397 0.500

***

Record 4
Rb4Np3BeSe8 | the Alexandria database | PBE-GGA | relaxed; formation energy (no corrections) = -1.033 eV per atom; E_tot = -0.4172 Ry per atom; SG = C2/m (12); size of the total moment = 3.451 μB per formula unit
1.0
7.442 -4.173 0.000
7.442 4.173 0.000
-4.863 0.000 7.948
Rb Np Be Se
4 3 1 8
Direct
0.000 0.000 0.000
0.000 0.500 0.000
0.500 0.000 0.000
0.500 0.500 0.000
0.000 0.000 0.500
0.000 0.500 0.500
0.500 0.000 0.500
0.500 0.500 0.500
0.232 0.232 0.699
0.256 0.256 0.296
0.261 0.701 0.672
0.299 0.739 0.328
0.701 0.261 0.672
0.739 0.299 0.328
0.744 0.744 0.704
0.768 0.768 0.301

***

Record 5
Li3CdAg2 | the Alexandria database | PBE-GGA | relaxed; E_tot = -0.1678 Ry per atom; ΔE_f = -0.223 eV per atom; SG = P4/mmm (123); size of the total moment = 0.000 μB per formula unit
1.0
3.206 0.000 0.000
0.000 3.206 0.000
0.000 0.000 9.757
Li Cd Ag
3 1 2
Direct
0.000 0.000 0.000
0.000 0.000 0.318
0.000 0.000 0.682
0.500 0.500 0.500
0.500 0.500 0.160
0.500 0.500 0.840

***

Record 6
In4C5 | the Alexandria database | PBE-GGA | relaxed; E_tot = -0.3091 Ry per atom; ΔE_f = 2.136 eV per atom; SG = P6_3/mcm (193); size of the total moment = 0.000 μB per formula unit
1.0
6.641 0.000 0.000
-3.320 5.751 0.000
0.000 0.000 6.810
In C
8 10
Direct
0.000 0.000 0.000
0.000 0.000 0.500
0.000 0.434 0.250
0.000 0.566 0.750
0.434 0.000 0.250
0.434 0.434 0.750
0.566 0.000 0.750
0.566 0.566 0.250
0.000 0.226 0.750
0.000 0.774 0.250
0.226 0.000 0.750
0.226 0.226 0.250
0.333 0.667 0.000
0.333 0.667 0.500
0.667 0.333 0.000
0.667 0.333 0.500
0.774 0.000 0.250
0.774 0.774 0.750

***

Record 7
K3Hg7Pd2 | the Alexandria database | PBE-GGA | relaxed; E_tot = -0.1145 Ry per atom; ΔE_f = -0.241 eV per atom; polymorph energy (0 for the lowest one) = 0.000 eV/atom; SG = Cmmm (65); size of the total moment = 0.000 μB per formula unit
1.0
2.680 -12.917 0.000
2.680 12.917 0.000
0.000 0.000 5.373
K Hg Pd
3 7 2
Direct
0.000 0.000 0.000
0.188 0.812 0.000
0.812 0.188 0.000
0.100 0.900 0.500
0.286 0.714 0.500
0.401 0.599 0.000
0.500 0.500 0.500
0.599 0.401 0.000
0.714 0.286 0.500
0.900 0.100 0.500
0.395 0.605 0.500
0.605 0.395 0.500

***

Record 8
Pu6Sc | the Alexandria database | PBE-GGA | relaxed; E_tot = -0.9547 Ry per atom; ΔE_f = 0.200 eV per atom; SG = Im-3m (229); size of the total moment = 0.000 μB per formula unit
1.0
-3.334 3.334 3.334
3.334 -3.334 3.334
3.334 3.334 -3.334
Pu Sc
6 1
Direct
0.250 0.500 0.750
0.250 0.750 0.500
0.500 0.250 0.750
0.500 0.750 0.250
0.750 0.250 0.500
0.750 0.500 0.250
0.000 0.000 0.000

***

| no. | DOS(E_F) (states/eV/f.u.) |
| --- | --- |
| 1 | 4.5 |
| 2 | 1.5 |
| 3 | 0.0 |
| 4 | 22.9 |
| 5 | 2.4 |
| 6 | 4.6 |
| 7 | 4.4 |
| 8 | 16.4 |